The following is a PBE-GGA calculation of an optimized crystal structure of NaTiRh2Se, from the Alexandria database.

abc: 4.5963 5.0331 4.5963
angles: 90.00 90.00 90.00
Last column: nearest neighbours and their distance in Å.
Atoms (fractional coordinates):
Na 0.5000 0.5000 0.5000  4 Se 3.25, 8 Rh 3.41
Rh 0.0000 0.0000 0.5000  2 Ti 2.30
Rh 0.5000 0.0000 0.0000  2 Ti 2.30
Se 0.0000 0.5000 0.0000  2 Ti 2.52
Ti 0.0000 0.0000 0.0000  4 Rh 2.30, 2 Se 2.52

Values from the calculation:
E_tot = -5.366 eV/atom
size of the total moment = 0.00 μB/atom

=====

The following is a PBE-GGA calculation of an optimized crystal structure of Na4TiRh3Se8, from the Alexandria database.

abc: 7.6168 8.0490 7.6172
angles: 118.27 120.00 90.00
Last column: nearest neighbours and their distance in Å.
Atoms (fractional coordinates):
Na 0.5000 0.0000 0.0000  6 Se 2.96
Na 0.5000 0.0000 0.5000  6 Se 3.01-3.04
Na 0.0000 0.0000 0.0000  6 Se 3.01-3.04
Na 0.0000 0.0000 0.5000  6 Se 3.01-3.04
Ti 0.0000 0.5000 0.0000  6 Se 2.61
Rh 0.5000 0.5000 0.0000  6 Se 2.54-2.55
Rh 0.5000 0.5000 0.5000  6 Se 2.54-2.55
Rh 0.0000 0.5000 0.5000  6 Se 2.54-2.55
Se 0.2361 0.6980 0.9621  2 Rh 2.55, 1 Ti 2.61
Se 0.2361 0.6980 0.4721  2 Rh 2.55, 1 Ti 2.61
Se 0.2705 0.3117 0.5411  3 Rh 2.54
Se 0.7260 0.6980 0.9621  2 Rh 2.55, 1 Ti 2.61
Se 0.2740 0.3020 0.0379  2 Rh 2.55, 1 Ti 2.61
Se 0.7295 0.6883 0.4589  3 Rh 2.54
Se 0.7639 0.3020 0.5279  2 Rh 2.55, 1 Ti 2.61
Se 0.7639 0.3020 0.0379  2 Rh 2.55, 1 Ti 2.61

Values from the calculation:
E_tot = -4.725 eV/atom
size of the total moment = 0.04 μB/atom

=====

The following is a PBE-GGA calculation of an optimized crystal structure of Na3URh3Se8, from the Alexandria database.

abc: 7.4666 7.4689 8.2608
angles: 116.89 89.99 119.99
Last column: nearest neighbours and their distance in Å.
Atoms (fractional coordinates):
Na 0.0000 0.0000 0.0000  6 Se 3.01-3.10
Na 0.0000 0.5000 0.0000  6 Se 3.01-3.09
Na 0.5000 0.5000 0.0000  6 Se 3.01-3.09
U 0.0000 0.0000 0.5000  6 Se 2.77
Rh 0.5000 0.0000 0.5000  6 Se 2.52-2.57
Rh 0.5000 0.5000 0.5000  6 Se 2.52-2.57
Rh 0.0000 0.5000 0.5000  6 Se 2.52-2.57
Se 0.2717 0.5435 0.3151  3 Rh 2.52
Se 0.7283 0.4565 0.6849  3 Rh 2.52
Se 0.7486 0.4972 0.2852  2 Rh 2.57, 1 U 2.77
Se 0.2514 0.5028 0.7148  2 Rh 2.57, 1 U 2.77
Se 0.7488 0.0367 0.2853  2 Rh 2.57, 1 U 2.77
Se 0.2512 0.9633 0.7147  2 Rh 2.57, 1 U 2.77
Se 0.2879 0.0367 0.2853  2 Rh 2.57, 1 U 2.77
Se 0.7121 0.9633 0.7147  2 Rh 2.57, 1 U 2.77

Values from the calculation:
E_tot = -5.120 eV/atom
size of the total moment = 0.09 μB/atom

=====

The following is a PBE-GGA calculation of an optimized crystal structure of Na2U2RhSe6, from the Alexandria database.

abc: 6.7047 6.7047 7.6390
angles: 98.46 98.46 119.57
Last column: nearest neighbours and their distance in Å.
Atoms (fractional coordinates):
Na 0.8312 0.1688 0.0000  6 Se 2.99-3.09
Na 0.1688 0.8312 0.0000  6 Se 2.99-3.09
U 0.3321 0.6679 0.5000  6 Se 2.82-2.83
U 0.6679 0.3321 0.5000  6 Se 2.82-2.83
Rh 0.0000 0.0000 0.5000  6 Se 2.63-2.67
Se 0.7636 0.7636 0.7190  1 Rh 2.63, 2 U 2.83
Se 0.0784 0.3913 0.7237  1 Rh 2.67, 2 U 2.82-2.83, 1 Na 2.99
Se 0.2364 0.2364 0.2810  1 Rh 2.63, 2 U 2.83
Se 0.3913 0.0784 0.7237  1 Rh 2.67, 2 U 2.82-2.83, 1 Na 2.99
Se 0.9216 0.6087 0.2763  1 Rh 2.67, 2 U 2.82-2.83, 1 Na 2.99
Se 0.6087 0.9216 0.2763  1 Rh 2.67, 2 U 2.82-2.83, 1 Na 2.99

Values from the calculation:
E_tot = -5.832 eV/atom
size of the total moment = 0.46 μB/atom

=====

The following is a PBE-GGA calculation of an optimized crystal structure of Na2VRh2Se6, from the Alexandria database.

abc: 6.3980 6.3980 7.3033
angles: 98.62 98.62 119.62
Last column: nearest neighbours and their distance in Å.
Atoms (fractional coordinates):
Na 0.8327 0.1673 0.0000  6 Se 2.99-3.04
Na 0.1673 0.8327 0.0000  6 Se 2.99-3.04
V 0.0000 0.0000 0.5000  6 Se 2.54
Rh 0.3314 0.6686 0.5000  6 Se 2.52-2.54
Rh 0.6686 0.3314 0.5000  6 Se 2.52-2.54
Se 0.7316 0.7316 0.6940  2 Rh 2.54, 1 V 2.54
Se 0.0687 0.4029 0.6954  2 Rh 2.52, 1 V 2.54
Se 0.2684 0.2684 0.3060  2 Rh 2.54, 1 V 2.54
Se 0.4029 0.0687 0.6954  2 Rh 2.52, 1 V 2.54
Se 0.9313 0.5971 0.3046  2 Rh 2.52, 1 V 2.54
Se 0.5971 0.9313 0.3046  2 Rh 2.52, 1 V 2.54

Values from the calculation:
E_tot = -4.960 eV/atom
size of the total moment = 0.09 μB/atom

=====

The following is a PBE-GGA calculation of an optimized crystal structure of Na4VRh3Se8, from the Alexandria database.

abc: 7.6131 8.0153 7.6133
angles: 118.38 120.00 90.00
Last column: nearest neighbours and their distance in Å.
Atoms (fractional coordinates):
Na 0.5000 0.0000 0.0000  6 Se 2.98
Na 0.5000 0.0000 0.5000  6 Se 3.01-3.04
Na 0.0000 0.0000 0.0000  6 Se 3.01-3.04
Na 0.0000 0.0000 0.5000  6 Se 3.01-3.04
V 0.0000 0.5000 0.0000  6 Se 2.58
Rh 0.5000 0.5000 0.0000  6 Se 2.53-2.55
Rh 0.5000 0.5000 0.5000  6 Se 2.53-2.55
Rh 0.0000 0.5000 0.5000  6 Se 2.53-2.55
Se 0.2339 0.6957 0.9621  2 Rh 2.55, 1 V 2.58
Se 0.2339 0.6957 0.4678  2 Rh 2.55, 1 V 2.58
Se 0.2709 0.3129 0.5417  3 Rh 2.53
Se 0.7282 0.6957 0.9621  2 Rh 2.55, 1 V 2.58
Se 0.2718 0.3043 0.0379  2 Rh 2.55, 1 V 2.58
Se 0.7291 0.6871 0.4583  3 Rh 2.53
Se 0.7661 0.3043 0.5322  2 Rh 2.55, 1 V 2.58
Se 0.7661 0.3043 0.0379  2 Rh 2.55, 1 V 2.58

Values from the calculation:
E_tot = -4.732 eV/atom
size of the total moment = 0.13 μB/atom

=====

The following is a PBE-GGA calculation of an optimized crystal structure of Na3V2RhSe6, from the Alexandria database.

abc: 6.4898 6.4898 7.1867
angles: 98.67 98.67 119.21
Last column: nearest neighbours and their distance in Å.
Atoms (fractional coordinates):
Na 0.1734 0.8266 0.5000  6 Se 2.97-2.99
Na 0.8266 0.1734 0.5000  6 Se 2.97-2.99
Na 0.5000 0.5000 0.5000  6 Se 3.01-3.02
V 0.3477 0.6523 0.0000  6 Se 2.53-2.66
V 0.6523 0.3477 0.0000  6 Se 2.53-2.66
Rh 0.0000 0.0000 0.0000  6 Se 2.54
Se 0.9398 0.6064 0.8034  1 Rh 2.54, 2 V 2.60-2.66
Se 0.7487 0.7487 0.2096  2 V 2.53, 1 Rh 2.54
Se 0.0602 0.3936 0.1966  1 Rh 2.54, 2 V 2.60-2.66
Se 0.6064 0.9398 0.8034  1 Rh 2.54, 2 V 2.60-2.66
Se 0.2513 0.2513 0.7904  2 V 2.53, 1 Rh 2.54
Se 0.3936 0.0602 0.1966  1 Rh 2.54, 2 V 2.60-2.66

Values from the calculation:
E_tot = -4.999 eV/atom
size of the total moment = 0.33 μB/atom

=====

The following is a PBE-GGA calculation of an optimized crystal structure of NaVRhSe3, from the Alexandria database.

abc: 3.6618 8.0749 9.0175
angles: 109.34 90.00 90.00
Last column: nearest neighbours and their distance in Å.
Atoms (fractional coordinates):
Na 0.2500 0.2162 0.2481  7 Se 3.07-3.22
Na 0.7500 0.7838 0.7519  7 Se 3.07-3.22
V 0.2500 0.0763 0.5958  4 Se 2.40-2.52, 2 V 2.54
V 0.7500 0.9237 0.4042  4 Se 2.40-2.52, 2 V 2.54
Rh 0.2500 0.6756 0.1602  6 Se 2.51-2.62
Rh 0.7500 0.3244 0.8398  6 Se 2.51-2.62
Se 0.7500 0.8834 0.1280  1 V 2.40, 2 Rh 2.56
Se 0.2500 0.1166 0.8720  1 V 2.40, 2 Rh 2.56
Se 0.2500 0.7473 0.4657  3 V 2.49-2.52, 1 Rh 2.62
Se 0.7500 0.2527 0.5343  3 V 2.49-2.52, 1 Rh 2.62
Se 0.7500 0.4551 0.1353  3 Rh 2.51-2.52
Se 0.2500 0.5449 0.8647  3 Rh 2.51-2.52

Values from the calculation:
E_tot = -5.351 eV/atom
size of the total moment = 0.00 μB/atom